# Rb2NiAg2F6 | Alexandria via LeMat-Bulk | PBE+U | optimized geometry
# Final energy in eV per atom: -3.8522
# Magnetic moment in Bohr magnetons per cell: 3.77
# Crystal system: monoclinic
data_Rb2NiAg2F6
_chemical_formula_sum 'Rb4 Ni2 Ag4 F12'
_space_group_name_H-M_alt 'C 1 2/m 1'
_space_group_IT_number 12
_space_group_name_Hall '-C 2y'
_cell_length_a 11.419
_cell_length_b 6.224
_cell_length_c 6.546
_cell_angle_alpha 90.00
_cell_angle_beta 119.95
_cell_angle_gamma 90.00
loop_
_atom_site_label
_atom_site_type_symbol
_atom_site_fract_x
_atom_site_fract_y
_atom_site_fract_z
Rb1 Rb 0.222 0.000 0.166
Ni1 Ni 0.000 0.000 0.500
Ag1 Ag 0.080 0.500 0.252
F1 F 0.055 0.228 0.759
F2 F 0.197 0.000 0.575